No. 1
# MnFe2CuC | the Alexandria database | PBE-GGA | relaxed
# - total moment (μB/atom) = 1.21
# - energy of formation (eV per atom) = 0.113
data_MnFe2CuC
_chemical_formula_sum 'Mn1 Fe2 Cu1 C1'
_symmetry_space_group_name_H-M 'P 4/m m m'
_symmetry_Int_Tables_number 123
_symmetry_space_group_name_Hall '-P 4 2'
_cell_length_a 3.7535
_cell_length_b 3.7535
_cell_length_c 3.8774
_cell_angle_alpha 90.00
_cell_angle_beta 90.00
_cell_angle_gamma 90.00
loop_
_atom_site_label
_atom_site_fract_x
_atom_site_fract_y
_atom_site_fract_z
Mn1 0.0000 0.0000 0.0000
Fe1 0.0000 0.5000 0.5000
Cu1 0.5000 0.5000 0.0000
C1 0.0000 0.0000 0.5000

---

No. 2
# LiMgIn2O | the Alexandria database | PBE-GGA | relaxed
# - total moment (μB/atom) = 0.00
# - ΔE_f (raw) (eV/atom) = -0.322
data_LiMgIn2O
_chemical_formula_sum 'Li1 Mg1 In2 O1'
_symmetry_space_group_name_H-M 'P 4/m m m'
_symmetry_Int_Tables_number 123
_symmetry_space_group_name_Hall '-P 4 2'
_cell_length_a 5.5266
_cell_length_b 5.5266
_cell_length_c 3.3541
_cell_angle_alpha 90.00
_cell_angle_beta 90.00
_cell_angle_gamma 90.00
loop_
_atom_site_label
_atom_site_fract_x
_atom_site_fract_y
_atom_site_fract_z
Li1 0.0000 0.0000 0.0000
Mg1 0.5000 0.5000 0.5000
In1 0.0000 0.5000 0.0000
O1 0.0000 0.0000 0.5000

---

No. 3
# MgZnCd2 | the Alexandria database | PBE-GGA | relaxed
# - energy above the most stable polymorph in this dataset (meV per atom) = 15
# - total moment (μB/atom) = 0.00
# - energy of formation (eV per atom) = -0.006
data_MgZnCd2
_chemical_formula_sum 'Mg1 Zn1 Cd2'
_symmetry_space_group_name_H-M 'P m m m'
_symmetry_Int_Tables_number 47
_cell_length_a 3.1682
_cell_length_b 4.1701
_cell_length_c 6.1806
_cell_angle_alpha 90.00
_cell_angle_beta 90.00
_cell_angle_gamma 90.00
loop_
_symmetry_equiv_pos_as_xyz
'x,y,z'
'-x,-y,-z'
'-x,-y,z'
'x,y,-z'
'x,-y,-z'
'-x,y,z'
'-x,y,-z'
'x,-y,z'
loop_
_atom_site_label
_atom_site_fract_x
_atom_site_fract_y
_atom_site_fract_z
Mg1 0.0000 0.0000 0.0000
Zn1 0.0000 0.0000 0.5000
Cd1 0.5000 0.5000 0.2578

---

No. 4
# ScGaCu2H | the Alexandria database | PBE-GGA | relaxed
# - total moment (μB/atom) = 0.00
# - uncorrected energy (eV/atom) = -4.372
data_ScGaCu2H
_chemical_formula_sum 'Sc1 Ga1 Cu2 H1'
_symmetry_space_group_name_H-M 'P 4/m m m'
_symmetry_Int_Tables_number 123
_symmetry_space_group_name_Hall '-P 4 2'
_cell_length_a 3.9901
_cell_length_b 3.9901
_cell_length_c 4.0456
_cell_angle_alpha 90.00
_cell_angle_beta 90.00
_cell_angle_gamma 90.00
loop_
_atom_site_label
_atom_site_fract_x
_atom_site_fract_y
_atom_site_fract_z
Sc1 0.0000 0.0000 0.0000
Ga1 0.5000 0.5000 0.0000
Cu1 0.0000 0.5000 0.5000
H1 0.0000 0.0000 0.5000

---

No. 5
# MgAl4Ru | the Alexandria database | PBE-GGA | relaxed
# - total moment (μB/atom) = 0.00
# - energy of formation (eV per atom) = -0.051
data_MgAl4Ru
_chemical_formula_sum 'Mg4 Al16 Ru4'
_symmetry_space_group_name_H-M 'F -4 3 m'
_symmetry_Int_Tables_number 216
_symmetry_space_group_name_Hall 'F -4 2 3'
_cell_length_a 7.2415
_cell_length_b 7.2415
_cell_length_c 7.2415
_cell_angle_alpha 90.00
_cell_angle_beta 90.00
_cell_angle_gamma 90.00
loop_
_atom_site_label
_atom_site_fract_x
_atom_site_fract_y
_atom_site_fract_z
Mg1 0.0000 0.0000 0.0000
Al1 0.1241 0.1241 0.3759
Ru1 0.2500 0.2500 0.7500

---

No. 6
# CaUPdS4 | the Alexandria database | PBE-GGA | relaxed
# - total moment (μB/atom) = 0.07
# - ΔE_f (raw) (eV/atom) = -1.168
data_CaUPdS4
_chemical_formula_sum 'Ca2 U2 Pd2 S8'
_symmetry_space_group_name_H-M 'P 1 21/m 1'
_symmetry_Int_Tables_number 11
_cell_length_a 6.4431
_cell_length_b 6.2012
_cell_length_c 7.7225
_cell_angle_alpha 90.00
_cell_angle_beta 106.01
_cell_angle_gamma 90.00
loop_
_symmetry_equiv_pos_as_xyz
'x,y,z'
'-x,-y,-z'
'-x,y+1/2,-z'
'x,-y+1/2,z'
loop_
_atom_site_label
_atom_site_fract_x
_atom_site_fract_y
_atom_site_fract_z
Ca1 0.2228 0.2500 0.0478
U1 0.2370 0.2500 0.5557
Pd1 0.2367 0.7500 0.3372
S1 0.0295 0.5198 0.7332
S2 0.4711 0.7500 0.1397
S3 0.4786 0.7500 0.6248

---

No. 7
# CaDyCu10 | the Alexandria database | PBE-GGA | relaxed
# - total moment (μB/atom) = 0.00
# - energy of formation (eV per atom) = -0.157
data_CaDyCu10
_chemical_formula_sum 'Ca1 Dy1 Cu10'
_symmetry_space_group_name_H-M 'P m m m'
_symmetry_Int_Tables_number 47
_cell_length_a 4.0496
_cell_length_b 5.1070
_cell_length_c 8.7701
_cell_angle_alpha 90.00
_cell_angle_beta 90.00
_cell_angle_gamma 90.00
loop_
_symmetry_equiv_pos_as_xyz
'x,y,z'
'-x,-y,-z'
'-x,-y,z'
'x,y,-z'
'x,-y,-z'
'-x,y,z'
'-x,y,-z'
'x,-y,z'
loop_
_atom_site_label
_atom_site_fract_x
_atom_site_fract_y
_atom_site_fract_z
Ca1 0.0000 0.0000 0.0000
Dy1 0.0000 0.5000 0.5000
Cu1 0.0000 0.0000 0.3351
Cu2 0.0000 0.5000 0.1681
Cu3 0.5000 0.0000 0.5000
Cu4 0.5000 0.2535 0.2547
Cu5 0.5000 0.5000 0.0000

---

No. 8
# KCd2Au | the Alexandria database | PBE-GGA | relaxed
# - total moment (μB/atom) = 0.00
# - energy of formation (eV per atom) = 0.069
data_KCd2Au
_chemical_formula_sum 'K2 Cd4 Au2'
_symmetry_space_group_name_H-M 'C m m m'
_symmetry_Int_Tables_number 65
_symmetry_space_group_name_Hall '-C 2 2'
_cell_length_a 6.2300
_cell_length_b 11.1737
_cell_length_c 2.9770
_cell_angle_alpha 90.00
_cell_angle_beta 90.00
_cell_angle_gamma 90.00
loop_
_atom_site_label
_atom_site_fract_x
_atom_site_fract_y
_atom_site_fract_z
K1 0.0000 0.0000 0.0000
Cd1 0.2500 0.2500 0.5000
Au1 0.0000 0.5000 0.0000

---

No. 9
# TaHgSb | the Alexandria database | PBE-GGA | relaxed
# - energy above the most stable polymorph in this dataset (meV per atom) = 217
# - total moment (μB/atom) = 0.00
# - ΔE_f (raw) (eV/atom) = 0.541
data_TaHgSb
_chemical_formula_sum 'Ta1 Hg1 Sb1'
_symmetry_space_group_name_H-M 'P -6 m 2'
_symmetry_Int_Tables_number 187
_symmetry_space_group_name_Hall 'P -6 2'
_cell_length_a 4.9465
_cell_length_b 4.9465
_cell_length_c 3.1170
_cell_angle_alpha 90.00
_cell_angle_beta 90.00
_cell_angle_gamma 120.00
loop_
_atom_site_label
_atom_site_fract_x
_atom_site_fract_y
_atom_site_fract_z
Ta1 0.0000 0.0000 0.0000
Hg1 0.3333 0.6667 0.5000
Sb1 0.6667 0.3333 0.0000

---

No. 10
# AgPW2 | the Alexandria database | PBE-GGA | relaxed
# - energy above the most stable polymorph in this dataset (meV per atom) = 522
# - total moment (μB/atom) = 0.00
# - energy of formation (eV per atom) = 0.802
data_AgPW2
_chemical_formula_sum 'Ag1 P1 W2'
_symmetry_space_group_name_H-M 'P 4/m m m'
_symmetry_Int_Tables_number 123
_symmetry_space_group_name_Hall '-P 4 2'
_cell_length_a 3.8943
_cell_length_b 3.8943
_cell_length_c 4.1025
_cell_angle_alpha 90.00
_cell_angle_beta 90.00
_cell_angle_gamma 90.00
loop_
_atom_site_label
_atom_site_fract_x
_atom_site_fract_y
_atom_site_fract_z
Ag1 0.0000 0.0000 0.0000
P1 0.5000 0.5000 0.0000
W1 0.0000 0.5000 0.5000

---

No. 11
# K3LiSe2O6 | the Alexandria database | PBE-GGA | relaxed
# - total moment (μB/atom) = 0.00
# - ΔE_f (raw) (eV/atom) = -1.466
data_K3LiSe2O6
_chemical_formula_sum 'K3 Li1 Se2 O6'
_symmetry_space_group_name_H-M 'P -3 m 1'
_symmetry_Int_Tables_number 164
_symmetry_space_group_name_Hall '-P 3 2"'
_cell_length_a 5.8964
_cell_length_b 5.8964
_cell_length_c 7.0303
_cell_angle_alpha 90.00
_cell_angle_beta 90.00
_cell_angle_gamma 120.00
loop_
_atom_site_label
_atom_site_fract_x
_atom_site_fract_y
_atom_site_fract_z
K1 0.0000 0.0000 0.0000
K2 0.3333 0.6667 0.6497
Li1 0.0000 0.0000 0.5000
Se1 0.3333 0.6667 0.1921
O1 0.1799 0.3598 0.2940

---

No. 12
# SrLi4Pb | the Alexandria database | PBE-GGA | relaxed
# - energy above the most stable polymorph in this dataset (meV per atom) = 59
# - total moment (μB/atom) = 0.00
# - energy of formation (eV per atom) = -0.144
data_SrLi4Pb
_chemical_formula_sum 'Sr4 Li16 Pb4'
_symmetry_space_group_name_H-M 'C m c m'
_symmetry_Int_Tables_number 63
_symmetry_space_group_name_Hall '-C 2c 2'
_cell_length_a 4.7365
_cell_length_b 18.2089
_cell_length_c 6.9696
_cell_angle_alpha 90.00
_cell_angle_beta 90.00
_cell_angle_gamma 90.00
loop_
_atom_site_label
_atom_site_fract_x
_atom_site_fract_y
_atom_site_fract_z
Sr1 0.0000 0.1159 0.2500
Li1 0.0000 0.0757 0.7500
Li2 0.0000 0.2370 0.5763
Li3 0.0000 0.5000 0.0000
Pb1 0.0000 0.3340 0.2500

---

D(E_F) values (in states/eV/f.u.) by entry order: 3.13 2.19 1.74 2.29 1.71 5.41 6.58 1.39 2.55 3.37 0.00 1.64.